HoPaV2O8 | PBE+U | optimized geometry

a b c (Å): 5.150 5.150 6.601
angles (deg): 112.96 112.96 90.00
Sites, in units of the cell vectors:
Pa (0.750, 0.250, 0.500)
V (0.250, 0.750, 0.500)
V (0.500, 0.500, 0.000)
O (0.418, 0.323, 0.169)
O (0.066, 0.002, 0.659)
O (0.342, 0.934, 0.341)
O (0.677, 0.249, 0.831)
O (0.998, 0.406, 0.341)
O (0.751, 0.846, 0.169)
O (0.594, 0.658, 0.659)
O (0.154, 0.582, 0.831)
Ho (0.000, 0.000, 0.000)

Calculated values
Its total energy is -102.17 eV/f.u. The value obtained for the theoretical density is 7.12 g/cm³. The space-group type is I-4. For the total moment, the calculation gives 0.1667 μB per atom.